12
Lattice="9.4326 -1.9184 0.0000 9.4326 1.9184 0.0000 -3.1276 0.0000 8.0068" Properties=species:S:1:pos:R:3 comment="Pm6Co2CCl3 | Alexandria via LeMat-Bulk | PBE-GGA | relaxed" spacegroup="C2/m (12)" vol_a3_per_fu=290 total_magnetization_mub_per_fu=0.00 raw_formation_energy_ev_per_atom=-0.87 pbc="T T T"
Pm -0.4521 0.0000 1.7056
Pm 4.8358 0.0000 3.4622
Pm 3.8752 0.0000 7.0498
Pm 11.8623 0.0000 0.9570
Pm 10.9018 0.0000 4.5446
Pm 16.1897 0.0000 6.3012
Co 2.0952 0.0000 2.8042
Co 13.6424 0.0000 5.2026
C 9.4326 0.0000 0.0000
Cl 0.3509 0.0000 6.7687
Cl 7.8688 0.0000 4.0034
Cl 15.3867 0.0000 1.2381